Record 1
This record from the Alexandria database describes a relaxed Ac9Ag2Ir4 crystal. The functional is GGA-PBE.

Values from the calculation:
Magnetic moment   0.0 μB/f.u.
Space group   P-3c1 (165)
Formation energy   -475 meV/atom

Unit cell a=7.644 b=7.644 c=21.378 alpha=90.00 beta=90.00 gamma=120.00
Fractional coordinates of all 30 atoms:
Ac  0.000  0.366  0.250
Ac  0.000  0.634  0.750
Ac  0.013  0.361  0.580
Ac  0.013  0.652  0.080
Ac  0.348  0.361  0.080
Ac  0.348  0.987  0.580
Ac  0.361  0.013  0.920
Ac  0.361  0.348  0.420
Ac  0.366  0.000  0.250
Ac  0.366  0.366  0.750
Ac  0.634  0.000  0.750
Ac  0.634  0.634  0.250
Ac  0.639  0.652  0.580
Ac  0.639  0.987  0.080
Ac  0.652  0.013  0.420
Ac  0.652  0.639  0.920
Ac  0.987  0.348  0.920
Ac  0.987  0.639  0.420
Ag  0.000  0.000  0.172
Ag  0.000  0.000  0.328
Ag  0.000  0.000  0.672
Ag  0.000  0.000  0.828
Ir  0.333  0.667  0.170
Ir  0.333  0.667  0.494
Ir  0.333  0.667  0.670
Ir  0.333  0.667  0.994
Ir  0.667  0.333  0.006
Ir  0.667  0.333  0.330
Ir  0.667  0.333  0.506
Ir  0.667  0.333  0.830

---

Record 2
This record from the Alexandria database describes a relaxed TaTi2Al crystal. The functional is GGA-PBE.

Values from the calculation:
Magnetic moment   0.0 μB/f.u.
Space group   P4/mmm (123)
Formation energy   -210 meV/atom

Unit cell a=3.301 b=3.301 c=6.247 alpha=90.00 beta=90.00 gamma=90.00
Fractional coordinates of all 4 atoms:
Ta  0.000  0.000  0.000
Ti  0.500  0.500  0.246
Ti  0.500  0.500  0.754
Al  0.000  0.000  0.500

---

Record 3
This record from the Alexandria database describes a relaxed Zr4InW crystal. The functional is GGA-PBE.

Values from the calculation:
Magnetic moment   0.0 μB/f.u.
Space group   F-43m (216)
Formation energy   484 meV/atom

Unit cell a=5.671 b=5.671 c=5.671 alpha=60.00 beta=60.00 gamma=60.00
Fractional coordinates of all 6 atoms:
Zr  0.377  0.377  0.377
Zr  0.377  0.377  0.868
Zr  0.377  0.868  0.377
Zr  0.868  0.377  0.377
In  0.000  0.000  0.000
W  0.750  0.750  0.750

---

Record 4
This record from the Alexandria database describes a relaxed Pr4GaCuI2 crystal. The functional is GGA-PBE.

Values from the calculation:
Magnetic moment   0.0 μB/f.u.
Uncorrected formation energy   -630 meV/atom
Space group   P2/m (10)

Unit cell a=7.662 b=4.193 c=8.188 alpha=90.00 beta=106.65 gamma=90.00
Fractional coordinates of all 8 atoms:
Pr  0.226  0.000  0.202
Pr  0.259  0.500  0.784
Pr  0.741  0.500  0.216
Pr  0.774  0.000  0.798
Ga  0.500  0.000  0.000
Cu  0.000  0.500  0.000
I  0.000  0.000  0.500
I  0.500  0.500  0.500

---

Record 5
This record from the Alexandria database describes a relaxed Dy2YCd2 crystal. The functional is GGA-PBE.

Values from the calculation:
Magnetic moment   0.0 μB/f.u.
Offset from the most stable computed form   0.95 eV/f.u.
Space group   P-3m1 (164)
Formation energy   -80 meV/atom

Unit cell a=5.180 b=5.180 c=6.374 alpha=90.00 beta=90.00 gamma=120.00
Fractional coordinates of all 5 atoms:
Dy  0.333  0.667  0.151
Dy  0.667  0.333  0.849
Y  0.000  0.000  0.500
Cd  0.333  0.667  0.655
Cd  0.667  0.333  0.345

---

Record 6
This record from the Alexandria database describes a relaxed Rb2AgCl2F2 crystal. The functional is GGA-PBE.

Values from the calculation:
Magnetic moment   0.3 μB/f.u.
Uncorrected formation energy   -1702 meV/atom
Space group   I4/mmm (139)

Unit cell a=8.529 b=8.529 c=8.529 alpha=148.00 beta=148.00 gamma=45.89
Fractional coordinates of all 7 atoms:
Rb  0.122  0.122  0.000
Rb  0.878  0.878  0.000
Ag  0.500  0.500  0.000
Cl  0.342  0.342  0.000
Cl  0.658  0.658  0.000
F  0.000  0.500  0.500
F  0.500  0.000  0.500